PBE In2CoHgMo, optimized geometry; energy of formation = 0.5873 eV per atom; DOS at the Fermi energy = 4.049 states/eV/cell; VASP energy = -20.78 eV/cell
1.0
-2.4270 -3.9764 -1.5680
3.6297 -2.5803 0.9256
-1.6986 -0.7574 4.5499
Mo Co Hg In
1 1 1 2
Direct
0.0000 0.5000 0.0000
0.0000 0.0000 0.0000
0.5000 0.5000 0.5000
0.0000 0.0000 0.5000
0.5000 0.0000 0.0000